1.
# ErLuCoCu | Alexandria | GGA-PBE | optimized geometry
# DFT formation energy in eV/atom: -0.2490
# Crystal system: cubic
data_ErLuCoCu
_cell_length_a 6.689
_cell_length_b 6.689
_cell_length_c 6.689
_cell_angle_alpha 90.00
_cell_angle_beta 90.00
_cell_angle_gamma 90.00
_symmetry_space_group_name_H-M 'F -4 3 m'
_symmetry_Int_Tables_number 216
_symmetry_space_group_name_Hall 'F -4 2 3'
loop_
_atom_site_label
_atom_site_fract_x
_atom_site_fract_y
_atom_site_fract_z
Er1 0.000 0.000 0.000
Lu1 0.000 0.000 0.500
Co1 0.250 0.250 0.750
Cu1 0.250 0.250 0.250

=====

2.
# Er2SiPt | Alexandria | GGA-PBE | optimized geometry
# ΔE_f (raw) in eV/atom: -0.887
# Crystal system: tetragonal
data_Er2SiPt
_cell_length_a 3.432
_cell_length_b 3.432
_cell_length_c 7.139
_cell_angle_alpha 90.00
_cell_angle_beta 90.00
_cell_angle_gamma 90.00
_symmetry_space_group_name_H-M 'P 4/m m m'
_symmetry_Int_Tables_number 123
_symmetry_space_group_name_Hall '-P 4 2'
loop_
_atom_site_label
_atom_site_fract_x
_atom_site_fract_y
_atom_site_fract_z
Er1 0.000 0.000 0.245
Si1 0.500 0.500 0.500
Pt1 0.500 0.500 0.000